SrLiCdPd3 after structural relaxation. Source: the Alexandria database, functional PBE-GGA.

a b c (Å): 6.034 12.870 6.228
angles (deg): 90.00 90.00 90.00
Space group Cmcm (No. 63)
Inequivalent atoms, fractional coordinates:
Sr 0.000 0.188 0.250 x4
Li 0.000 0.420 0.250 x4
Cd 0.000 0.145 0.750 x4
Pd 0.000 0.360 0.750 x4
Pd 0.234 0.000 0.000 x8

Summary:
The value obtained for the spin magnetization is 0.000 μB per atom. As for the energy: -89.30 eV for the cell shown. For the formation energy from the elements, the calculation gives -373 meV per atom. Its crystal system is orthorhombic. For the volume, the calculation gives 20.15 Å³/atom. As for the density of states at the Fermi level: 0.22 states/eV per atom.